The following is a DFT calculation (meta-GGA SCAN) of a crystal of TiP2O7 relaxed with PBEsol.

abc: 6.354 6.447 6.934
angles: 86.25 63.02 89.38
Space group P-1 (No. 2)
Symmetry-distinct sites (fractional):
Ti 0.105 0.342 0.298 [2 per cell]
P 0.060 0.856 0.216 [2 per cell]
P 0.337 0.632 0.844 [2 per cell]
O 0.066 0.668 0.376 [2 per cell]
O 0.135 0.058 0.282 [2 per cell]
O 0.160 0.140 0.803 [2 per cell]
O 0.185 0.652 0.726 [2 per cell]
O 0.267 0.440 0.005 [2 per cell]
O 0.296 0.820 0.994 [2 per cell]
O 0.402 0.362 0.315 [2 per cell]

Results
Calculated total energy (eV/atom): -10.691
Size of the total moment (μB/cell): 0.1
Crystal system: triclinic
Uncorrected formation energy (eV per atom): -2.646
Offset from the most stable computed form (meV per atom): 88.0